Ag2GeO2 | Alexandria | PBE | optimized geometry; calculated total energy = -4.3074 eV/atom; N(E_F) = 1.10 states/eV/f.u.; E above lowest polymorph = 0.0 kJ/mol of atoms; formation energy without anion corrections = -25 kJ per mole of atoms
1.0
5.500 0.000 0.000
0.000 5.500 0.000
0.000 0.000 4.796
Ag Ge O
4 2 4
direct
0.191 0.309 0.000
0.309 0.809 0.000
0.691 0.191 0.000
0.809 0.691 0.000
0.000 0.000 0.500
0.500 0.500 0.500
0.209 0.291 0.500
0.291 0.791 0.500
0.709 0.209 0.500
0.791 0.709 0.500